Crystalline KCrBrF2 at its relaxed geometry. Source: Alexandria, functional PBE+U.

Summary:
Its density is 3.35 g/cm³. Its crystal system is tetragonal. As for the total energy: -24.663 eV/cell.

Cell lengths 4.2495, 4.2495, 5.7404 Å; angles 90.00, 90.00, 90.00 degrees
Last column: magnetic moment on the atom in μB.
Positions (direct):
1 F 0.0000 0.5000 0.0000  0.00
2 Br 0.0000 0.0000 0.5000  0.02
3 K 0.5000 0.5000 0.5000  0.00
4 F 0.5000 0.0000 0.0000  0.00
5 Cr 0.0000 0.0000 0.0000  3.79